Arrangement w

Er3BiC | PBE-GGA | relaxed

* crystal system: monoclinic
* D(E_F): 0.74 states/eV per atom
* space-group type: No. 12

a = 8.318 Å, b = 8.318 Å, c = 8.355 Å
α = 103.77°, β = 103.77°, γ = 28.88°
Sites, in units of the cell vectors:
1 Er 0.044 0.044 0.349
2 Er 0.161 0.161 0.940
3 Er 0.325 0.325 0.366
4 Er 0.675 0.675 0.634
5 Er 0.839 0.839 0.060
6 Er 0.956 0.956 0.651
7 Bi 0.339 0.339 0.772
8 Bi 0.661 0.661 0.228
9 C 0.100 0.100 0.642
10 C 0.900 0.900 0.358



Arrangement x

Er3BiC | PBE-GGA | relaxed

* crystal system: cubic
* D(E_F): 0.69 states/eV per atom
* space-group type: No. 221

a = 4.875 Å, b = 4.875 Å, c = 4.875 Å
α = 90.00°, β = 90.00°, γ = 90.00°
Sites, in units of the cell vectors:
1 Er 0.000 0.000 0.500
2 Er 0.000 0.500 0.000
3 Er 0.500 0.000 0.000
4 Bi 0.500 0.500 0.500
5 C 0.000 0.000 0.000



Stability summary - winner: arrangement x; margin: 200 meV/atom.



Arrangement w

Er4BiC2 | PBE-GGA | relaxed

* crystal system: trigonal
* D(E_F): 0.57 states/eV per atom
* space-group type: No. 166

a = 14.130 Å, b = 14.130 Å, c = 14.130 Å
α = 14.63°, β = 14.63°, γ = 14.63°
Sites, in units of the cell vectors:
1 Er 0.125 0.125 0.125
2 Er 0.271 0.271 0.271
3 Er 0.729 0.729 0.729
4 Er 0.875 0.875 0.875
5 Bi 0.000 0.000 0.000
6 C 0.427 0.427 0.427
7 C 0.573 0.573 0.573



Arrangement x

Er4BiC2 | PBE-GGA | relaxed

* crystal system: orthorhombic
* D(E_F): 0.40 states/eV per atom
* space-group type: No. 63

a = 6.459 Å, b = 6.459 Å, c = 12.871 Å
α = 90.00°, β = 90.00°, γ = 146.14°
Sites, in units of the cell vectors:
1 Er 0.000 0.000 0.000
2 Er 0.000 0.000 0.500
3 Er 0.258 0.742 0.600
4 Er 0.258 0.742 0.900
5 Er 0.412 0.588 0.250
6 Er 0.588 0.412 0.750
7 Er 0.742 0.258 0.100
8 Er 0.742 0.258 0.400
9 Bi 0.110 0.890 0.250
10 Bi 0.890 0.110 0.750
11 C 0.364 0.636 0.058
12 C 0.364 0.636 0.442
13 C 0.636 0.364 0.558
14 C 0.636 0.364 0.942



Stability summary - winner: arrangement x; margin: 5 meV/atom.



Arrangement w

BiC2F | PBE-GGA | relaxed

* crystal system: cubic
* D(E_F): 0.40 states/eV per atom
* space-group type: No. 225

a = 5.864 Å, b = 5.864 Å, c = 5.864 Å
α = 90.00°, β = 90.00°, γ = 90.00°
Sites, in units of the cell vectors:
1 Bi 0.000 0.000 0.000
2 Bi 0.000 0.500 0.500
3 Bi 0.500 0.000 0.500
4 Bi 0.500 0.500 0.000
5 C 0.250 0.250 0.250
6 C 0.250 0.250 0.750
7 C 0.250 0.750 0.250
8 C 0.250 0.750 0.750
9 C 0.750 0.250 0.250
10 C 0.750 0.250 0.750
11 C 0.750 0.750 0.250
12 C 0.750 0.750 0.750
13 F 0.000 0.000 0.500
14 F 0.000 0.500 0.000
15 F 0.500 0.000 0.000
16 F 0.500 0.500 0.500



Arrangement x

BiC2F | PBE-GGA | relaxed

* crystal system: tetragonal
* D(E_F): 0.55 states/eV per atom
* space-group type: No. 141

a = 3.288 Å, b = 3.288 Å, c = 20.572 Å
α = 90.00°, β = 90.00°, γ = 90.00°
Sites, in units of the cell vectors:
1 Bi 0.000 0.250 0.375
2 Bi 0.000 0.750 0.625
3 Bi 0.500 0.250 0.125
4 Bi 0.500 0.750 0.875
5 C 0.000 0.000 0.000
6 C 0.000 0.500 0.000
7 C 0.250 0.250 0.750
8 C 0.250 0.750 0.250
9 C 0.500 0.000 0.500
10 C 0.500 0.500 0.500
11 C 0.750 0.250 0.750
12 C 0.750 0.750 0.250
13 F 0.000 0.250 0.875
14 F 0.000 0.750 0.125
15 F 0.500 0.250 0.625
16 F 0.500 0.750 0.375



Stability summary - winner: arrangement x; margin: 521 meV/atom.



Arrangement w

BiCNF2 | PBE-GGA | relaxed

* crystal system: tetragonal
* D(E_F): 0.87 states/eV per atom
* space-group type: No. 123

a = 4.455 Å, b = 4.455 Å, c = 4.636 Å
α = 90.00°, β = 90.00°, γ = 90.00°
Sites, in units of the cell vectors:
1 Bi 0.000 0.000 0.000
2 C 0.500 0.500 0.500
3 N 0.000 0.000 0.500
4 F 0.000 0.500 0.000
5 F 0.500 0.000 0.000



Arrangement x

BiCNF2 | PBE-GGA | relaxed

* crystal system: tetragonal
* D(E_F): 0.23 states/eV per atom
* space-group type: No. 123

a = 3.916 Å, b = 3.916 Å, c = 3.781 Å
α = 90.00°, β = 90.00°, γ = 90.00°
Sites, in units of the cell vectors:
1 Bi 0.000 0.000 0.000
2 C 0.500 0.500 0.500
3 N 0.500 0.500 0.000
4 F 0.000 0.500 0.500
5 F 0.500 0.000 0.500



Stability summary - winner: arrangement x; margin: 316 meV/atom.